# KGaAgMo2

A geometry-optimized KGaAgMo2 structure (PBEsol, Alexandria).

Results
density of states at the Fermi level = 4.91 states/eV/f.u.
energy of formation = 1881 meV/atom

a = 4.801 Å, b = 5.238 Å, c = 5.238 Å
α = 90.00°, β = 90.00°, γ = 90.00°
Site moments in Bohr magnetons follow the coordinates.
Sites, in units of the cell vectors:
Mo  0.000  0.500  0.000  3.20
Mo  0.000  0.000  0.500  3.20
Ag  0.000  0.000  0.000  0.17
K  0.500  0.500  0.500  0.04
Ga  0.500  0.000  0.000  -0.06

=====

# LiLaCd

A geometry-optimized LiLaCd structure (PBEsol, Alexandria).

Results
ΔE to the lowest computed polymorph = 0.084 eV/atom
density of states at the Fermi level = 3.15 states/eV/f.u.
energy of formation = -127 meV/atom

a = 3.507 Å, b = 3.507 Å, c = 6.449 Å
α = 105.78°, β = 105.78°, γ = 90.00°
Sites, in units of the cell vectors:
Cd  0.974  0.974  0.947
La  0.661  0.661  0.323
Li  0.365  0.365  0.730

=====

# Fe2CoPt

A geometry-optimized Fe2CoPt structure (PBEsol, Alexandria).

Results
density of states at the Fermi level = 4.23 states/eV/f.u.
energy of formation = -60 meV/atom

a = 3.650 Å, b = 3.650 Å, c = 4.457 Å
α = 114.17°, β = 114.17°, γ = 90.00°
Site moments in Bohr magnetons follow the coordinates.
Sites, in units of the cell vectors:
Co  0.000  0.000  0.000  1.55
Pt  0.500  0.500  0.000  0.30
Fe  0.250  0.750  0.500  2.66
Fe  0.750  0.250  0.500  2.66

=====

# Ti2CoMo

A geometry-optimized Ti2CoMo structure (PBEsol, Alexandria).

Results
density of states at the Fermi level = 4.65 states/eV/f.u.
energy of formation = -260 meV/atom

a = 4.274 Å, b = 4.274 Å, c = 4.274 Å
α = 60.00°, β = 60.00°, γ = 60.00°
Sites, in units of the cell vectors:
Ti  0.250  0.250  0.250
Ti  0.750  0.750  0.750
Co  0.000  0.000  0.000
Mo  0.500  0.500  0.500

=====

# SmMgRh2

A geometry-optimized SmMgRh2 structure (PBEsol, Alexandria).

Results
density of states at the Fermi level = 1.71 states/eV/f.u.
energy of formation = -554 meV/atom

a = 4.631 Å, b = 4.631 Å, c = 4.631 Å
α = 60.00°, β = 60.00°, γ = 60.00°
Sites, in units of the cell vectors:
Mg  0.000  0.000  0.000
Rh  0.250  0.250  0.250
Rh  0.750  0.750  0.750
Sm  0.500  0.500  0.500

=====

# BeCu2Au

A geometry-optimized BeCu2Au structure (PBEsol, Alexandria).

Results
density of states at the Fermi level = 1.20 states/eV/f.u.
energy of formation = -55 meV/atom

a = 3.518 Å, b = 3.518 Å, c = 4.630 Å
α = 112.33°, β = 112.33°, γ = 90.00°
Sites, in units of the cell vectors:
Be  0.000  0.000  0.000
Au  0.500  0.500  0.000
Cu  0.250  0.750  0.500
Cu  0.750  0.250  0.500

=====

# TlHI2

A geometry-optimized TlHI2 structure (PBEsol, Alexandria).

Results
ΔE to the lowest computed polymorph = 0.000 eV/atom

a = 6.689 Å, b = 6.689 Å, c = 6.689 Å
α = 102.90°, β = 112.85°, γ = 112.85°
Sites, in units of the cell vectors:
I  0.611  0.375  0.486
I  0.111  0.236  0.625
I  0.889  0.514  0.125
I  0.389  0.875  0.764
Tl  0.500  0.750  0.250
Tl  0.000  0.000  0.000
H  0.000  0.500  0.500
H  0.500  0.250  0.750

=====

# ScTa3Rh

A geometry-optimized ScTa3Rh structure (PBEsol, Alexandria).

Results
density of states at the Fermi level = 8.06 states/eV/f.u.
energy of formation = 1984 meV/atom

a = 4.581 Å, b = 4.581 Å, c = 4.581 Å
α = 90.00°, β = 90.00°, γ = 90.00°
Sites, in units of the cell vectors:
Ta  0.000  0.000  0.500
Ta  0.500  0.000  0.000
Ta  0.000  0.500  0.000
Rh  0.500  0.500  0.500
Sc  0.000  0.000  0.000